# Bi3IrF

A geometry-optimized Bi3IrF structure (PBE, Alexandria).

a = 4.901 Å, b = 4.901 Å, c = 4.901 Å
α = 90.00°, β = 90.00°, γ = 90.00°
Space group Pm-3m (No. 221)
Symmetry-distinct sites (fractional):
Bi 0.000 0.000 0.500 x3
Ir 0.500 0.500 0.500 x1
F 0.000 0.000 0.000 x1

E_form (uncorrected)	1.04	eV per formula unit
energy above the lowest structure with this stoichiometry	0	meV per atom

***

# TaGa

A geometry-optimized TaGa structure (PBE, Alexandria).

a = 4.4745 Å, b = 4.4745 Å, c = 5.1549 Å
α = 90.00°, β = 90.00°, γ = 120.00°
Space group P6_3/mmc (No. 194)
Symmetry-distinct sites (fractional):
Ta 0.3333 0.6667 0.2500 x2
Ga 0.3333 0.6667 0.7500 x2

calculated formation energy	0.75	eV/atom

***

# Ca16Mg3Sn13

A geometry-optimized Ca16Mg3Sn13 structure (PBE, Alexandria).

a = 17.535 Å, b = 17.521 Å, c = 6.001 Å
α = 90.00°, β = 90.00°, γ = 90.00°
Space group Amm2 (No. 38)
Symmetry-distinct sites (fractional):
Ca 0.099 0.182 0.000 x8
Ca 0.180 0.100 0.500 x8
Ca 0.316 0.100 0.006 x8
Ca 0.398 0.182 0.508 x8
Mg 0.000 0.000 0.247 x2
Mg 0.000 0.000 0.748 x2
Mg 0.500 0.000 0.758 x2
Sn 0.000 0.152 0.497 x4
Sn 0.154 0.000 0.997 x4
Sn 0.250 0.250 0.253 x8
Sn 0.346 0.000 0.513 x4
Sn 0.500 0.000 0.259 x2
Sn 0.500 0.154 0.005 x4

calculated formation energy	-0.61	eV/atom

***

# K2HgBr

A geometry-optimized K2HgBr structure (PBE, Alexandria).

a = 4.860 Å, b = 7.059 Å, c = 4.877 Å
α = 90.00°, β = 90.04°, γ = 90.00°
Space group Pm (No. 6)
Symmetry-distinct sites (fractional):
K 0.000 0.000 0.000 x1
K 0.497 0.500 0.510 x1
Hg 0.500 0.000 0.499 x1
Br 0.998 0.500 0.009 x1

E_form (uncorrected)	-3.33	eV per formula unit
energy above the lowest structure with this stoichiometry	75	meV per atom

***

# SbTe2PbC

A geometry-optimized SbTe2PbC structure (PBE, Alexandria).

a = 4.989 Å, b = 4.989 Å, c = 4.852 Å
α = 90.00°, β = 90.00°, γ = 90.00°
Space group P4/mmm (No. 123)
Symmetry-distinct sites (fractional):
Sb 0.000 0.000 0.000 x1
Te 0.000 0.500 0.500 x2
Pb 0.500 0.500 0.000 x1
C 0.000 0.000 0.500 x1

E_form (uncorrected)	4.12	eV per formula unit
energy above the lowest structure with this stoichiometry	0	meV per atom

***

# DyAl2Co9

A geometry-optimized DyAl2Co9 structure (PBE, Alexandria).

a = 8.046 Å, b = 8.046 Å, c = 4.691 Å
α = 90.00°, β = 90.00°, γ = 90.00°
Space group P4/mbm (No. 127)
Symmetry-distinct sites (fractional):
Dy 0.000 0.000 0.000 x2
Al 0.121 0.379 0.000 x4
Co 0.000 0.500 0.500 x2
Co 0.068 0.210 0.500 x8
Co 0.176 0.676 0.235 x8

calculated formation energy	-0.25	eV/atom